{"formula": "La7Pm3Ho2", "functional": "PBE-GGA", "state": "optimized geometry", "lattice": [[-0.1869, 3.4047, -1.2691], [-4.9407, -1.4276, -3.1022], [-7.1266, 6.1943, 17.6676]], "species": ["La", "La", "La", "La", "La", "La", "La", "Pm", "Pm", "Pm", "Ho", "Ho"], "fractional_positions": [[0.5000, 0.7238, 0.4669], [0.5000, 0.2762, 0.5331], [0.0000, 0.4731, 0.1468], [0.0000, 0.0000, 0.0000], [0.0000, 0.5269, 0.8532], [0.5000, 0.9922, 0.8158], [0.5000, 0.0078, 0.1842], [0.5000, 0.5000, 0.0000], [0.0000, 0.1457, 0.3642], [0.0000, 0.8543, 0.6358], [0.5000, 0.5906, 0.2979], [0.5000, 0.4094, 0.7021]], "polymorph_energy_ev_per_fu": 0.25, "formation_energy_ev_per_atom": 0.09, "dos_ef_per_ev_atom": 1.5927}

***

{"formula": "Sr2CuF6", "functional": "PBE-GGA", "state": "optimized geometry", "lattice": [[-4.9109, -1.1258, 7.1826], [8.3316, 1.1676, -2.4889], [-0.6736, 5.7444, 0.4398]], "species": ["Sr", "Sr", "Sr", "Sr", "Cu", "Cu", "F", "F", "F", "F", "F", "F", "F", "F", "F", "F", "F", "F"], "fractional_positions": [[0.6619, 0.3381, 0.5000], [0.1619, 0.8381, 0.0000], [0.8381, 0.1619, 0.0000], [0.3381, 0.6619, 0.5000], [0.0000, 0.0000, 0.5000], [0.5000, 0.5000, 0.0000], [0.0846, 0.2470, 0.3338], [0.5077, 0.0077, 0.2500], [0.9923, 0.4923, 0.7500], [0.9154, 0.7530, 0.6662], [0.4923, 0.9923, 0.7500], [0.7530, 0.9154, 0.6662], [0.4154, 0.2530, 0.8338], [0.2530, 0.4154, 0.8338], [0.0077, 0.5077, 0.2500], [0.7470, 0.5846, 0.1662], [0.5846, 0.7470, 0.1662], [0.2470, 0.0846, 0.3338]], "polymorph_energy_ev_per_fu": 0.00, "e_form_raw_ev_per_atom": -3.16}

***

{"formula": "NbZnRu2Pt", "functional": "PBE-GGA", "state": "optimized geometry", "lattice": [[4.7537, 0.0000, 0.0000], [0.0000, 4.5067, 0.0000], [0.0000, 0.0000, 4.7537]], "species": ["Ru", "Ru", "Nb", "Zn", "Pt"], "fractional_positions": [[0.0000, 0.0000, 0.5000], [0.5000, 0.0000, 0.0000], [0.5000, 0.5000, 0.5000], [0.0000, 0.5000, 0.0000], [0.0000, 0.0000, 0.0000]], "formation_energy_ev_per_atom": 1.50, "dos_ef_per_ev_atom": 1.6334}

***

{"formula": "La4TeAsPb2", "functional": "PBE-GGA", "state": "optimized geometry", "lattice": [[4.4777, 0.0000, 0.0000], [0.0000, 8.1877, -0.3147], [0.0000, 2.7296, 7.3286]], "species": ["La", "La", "La", "La", "Te", "As", "Pb", "Pb"], "fractional_positions": [[0.0000, 0.7412, 0.7410], [0.0000, 0.2588, 0.2590], [0.5000, 0.7300, 0.2687], [0.5000, 0.2700, 0.7313], [0.5000, 0.5000, 0.0000], [0.0000, 0.5000, 0.5000], [0.0000, 0.0000, 0.0000], [0.5000, 0.0000, 0.5000]], "dos_ef_per_ev_atom": 0.5952, "e_form_raw_ev_per_atom": -1.05}